A relaxed Sr6LiTl2 crystal, computed with GGA-PBE.

E above lowest polymorph = 0.000 eV per atom
VASP energy = -36.6 eV/cell
ρ = 4.4 Mg/m³
Formation energy from the elements = -172 meV per atom
Volume = 39.86 A^3/atom
Symmetry = P4_2/mnm (136)

a = 11.069 Å, b = 11.069 Å, c = 5.856 Å
α = 90.00°, β = 90.00°, γ = 90.00°
Element x y z (fractional)
Sr (0.029, 0.306, 0.000)
Sr (0.120, 0.880, 0.500)
Sr (0.194, 0.529, 0.500)
Sr (0.306, 0.029, 0.000)
Sr (0.380, 0.380, 0.000)
Sr (0.471, 0.806, 0.500)
Sr (0.529, 0.194, 0.500)
Sr (0.620, 0.620, 0.000)
Sr (0.694, 0.971, 0.000)
Sr (0.806, 0.471, 0.500)
Sr (0.880, 0.120, 0.500)
Sr (0.971, 0.694, 0.000)
Li (0.000, 0.000, 0.000)
Li (0.500, 0.500, 0.500)
Tl (0.204, 0.204, 0.500)
Tl (0.296, 0.704, 0.000)
Tl (0.704, 0.296, 0.000)
Tl (0.796, 0.796, 0.500)